# 1
Material: FeHg2Cl
Method: DFT, PBE
State: relaxed

Summary:
For the energy relative to the elements, uncorrected, the calculation gives 1.67 eV per formula unit.

Unit cell a=4.3362 b=4.3362 c=9.0919 alpha=90.00 beta=90.00 gamma=90.00
Space group I-4m2 (No. 119)
Inequivalent atoms, fractional coordinates:
Fe 0.0000 0.0000 0.0000 (multiplicity 2)
Hg 0.0000 0.0000 0.5000 (multiplicity 2)
Hg 0.0000 0.5000 0.7500 (multiplicity 2)
Cl 0.0000 0.5000 0.2500 (multiplicity 2)

# 2
Material: CoRuPt2
Method: DFT, PBE
State: relaxed

Summary:
The total DFT energy (no corrections) is -28.40 eV for the cell shown.

Unit cell a=2.7186 b=3.8620 c=5.3930 alpha=90.00 beta=90.00 gamma=90.00
Space group Pmmm (No. 47)
Inequivalent atoms, fractional coordinates:
Co 0.0000 0.0000 0.0000 (multiplicity 1)
Ru 0.0000 0.0000 0.5000 (multiplicity 1)
Pt 0.5000 0.5000 0.2471 (multiplicity 2)